Version 1
TaC2: PBEsol geometry, meta-GGA SCAN.

abc: 2.7559 2.7559 8.0872
angles: 90.00 90.00 120.00
Space group P6_3/mmc (No. 194)
One atom of each set of equivalent atoms:
Ta 0.3333 0.6667 0.2500 x2
C 0.3333 0.6667 0.5348 x4

Values from the calculation:
V: 53.2 Å³ per cell

Version 2
TaC2: PBEsol geometry, meta-GGA SCAN.

abc: 3.6559 3.6559 9.4463
angles: 90.00 90.00 120.00
Space group R3m (No. 160, hexagonal axes)
One atom of each set of equivalent atoms:
Ta 0.0000 0.0000 0.0000 x3
C 0.0000 0.0000 0.6401 x3
C 0.0000 0.0000 0.7866 x3

Values from the calculation:
V: 109.3 Å³ per cell

Version 3
TaC2: PBEsol geometry, meta-GGA SCAN.

abc: 2.739 2.739 14.036
angles: 90.00 90.00 90.00
Space group I4_1/amd (No. 141, origin choice 2)
One atom of each set of equivalent atoms:
Ta 0.000 0.250 0.375 x4
C 0.000 0.250 0.778 x8

Values from the calculation:
V: 105.3 Å³ per cell

Version 4
TaC2: PBEsol geometry, meta-GGA SCAN.

abc: 3.1983 3.1983 3.0230
angles: 90.00 90.00 120.00
Space group P6/mmm (No. 191)
One atom of each set of equivalent atoms:
Ta 0.0000 0.0000 0.0000 x1
C 0.3333 0.6667 0.5000 x2

Values from the calculation:
V: 26.8 Å³ per cell

version 2 takes first place; second place is 50 meV per atom up.

Version 1
TcC3: PBEsol geometry, meta-GGA SCAN.

abc: 3.093 2.519 4.444
angles: 90.00 105.68 90.00
Space group P2/m (No. 10)
One atom of each set of equivalent atoms:
Tc 0.000 0.000 0.000 x1
C 0.000 0.000 0.500 x1
C 0.273 0.500 0.398 x2

Values from the calculation:
V: 33.3 Å³ per cell

Version 2
TcC3: PBEsol geometry, meta-GGA SCAN.

abc: 2.641 3.099 4.974
angles: 90.00 90.00 90.00
Space group Pmmm (No. 47)
One atom of each set of equivalent atoms:
Tc 0.000 0.000 0.000 x1
C 0.000 0.000 0.500 x1
C 0.500 0.000 0.500 x1
C 0.500 0.500 0.000 x1

Values from the calculation:
V: 40.7 Å³ per cell

Version 3
TcC3: PBEsol geometry, meta-GGA SCAN.

abc: 3.606 10.030 3.889
angles: 90.00 90.00 90.00
Space group Cmcm (No. 63)
One atom of each set of equivalent atoms:
Tc 0.000 0.085 0.250 x4
C 0.000 0.195 0.750 x4
C 0.198 0.406 0.250 x8

Values from the calculation:
V: 140.7 Å³ per cell

version 3 takes first place; second place is 143 meV per atom up.

Version 1
TcC2: PBEsol geometry, meta-GGA SCAN.

abc: 5.963 5.963 5.963
angles: 90.00 90.00 90.00
Space group Fd-3m (No. 227, origin choice 2)
One atom of each set of equivalent atoms:
Tc 0.125 0.125 0.125 x8
C 0.000 0.000 0.500 x16

Values from the calculation:
V: 212.1 Å³ per cell

Version 2
TcC2: PBEsol geometry, meta-GGA SCAN.

abc: 10.549 2.657 3.710
angles: 90.00 95.12 90.00
Space group C2/m (No. 12)
One atom of each set of equivalent atoms:
Tc 0.119 0.000 0.033 x4
C 0.007 0.500 0.695 x4
C 0.233 0.000 0.583 x4

Values from the calculation:
V: 103.6 Å³ per cell

version 2 takes first place; second place is 2091 meV per atom up.

Version 1
Te2C: PBEsol geometry, meta-GGA SCAN.

abc: 3.3083 3.3083 13.2932
angles: 90.00 90.00 120.00
Space group P6_3/mmc (No. 194)
One atom of each set of equivalent atoms:
Te 0.3333 0.6667 0.1158 x4
C 0.0000 0.0000 0.0000 x2

Values from the calculation:
V: 126.0 Å³ per cell

Version 2
Te2C: PBEsol geometry, meta-GGA SCAN.

abc: 4.671 4.671 5.634
angles: 90.00 90.00 90.00
Space group P4/nmm (No. 129, origin choice 2)
One atom of each set of equivalent atoms:
Te 0.250 0.250 0.004 x2
Te 0.250 0.750 0.500 x2
C 0.250 0.250 0.614 x2

Values from the calculation:
V: 122.9 Å³ per cell

version 2 takes first place; second place is 103 meV per atom up.